[1]
DFT (GGA-PBE) results for crystalline MgTl2Bi2 at its relaxed geometry.

a b c (Å): 7.7635 7.7635 5.5096
angles (deg): 90.00 90.00 90.00
Atoms (fractional coordinates):
Mg (0.0000, 0.0000, 0.0000)
Mg (0.5000, 0.5000, 0.0000)
Tl (0.1677, 0.6677, 0.5000)
Tl (0.6677, 0.8323, 0.5000)
Tl (0.8323, 0.3323, 0.5000)
Tl (0.3323, 0.1677, 0.5000)
Bi (0.3599, 0.8599, 0.0000)
Bi (0.8599, 0.6401, 0.0000)
Bi (0.6401, 0.1401, 0.0000)
Bi (0.1401, 0.3599, 0.0000)

Properties
Volume in Å³ per atom: 33.21
Total energy in eV/atom: -2.84
ΔH_f (0 K) in eV per atom: -0.018
Energy above the lowest structure with this stoichiometry in meV per atom: 16

---

[2]
DFT (GGA-PBE) results for crystalline Mg8TlBi6 at its relaxed geometry.

a b c (Å): 8.2549 8.2549 8.9448
angles (deg): 62.52 62.52 60.00
Atoms (fractional coordinates):
Mg (0.8083, 0.4265, 0.6261)
Mg (0.8608, 0.1917, 0.3739)
Mg (0.5735, 0.8608, 0.3739)
Mg (0.3412, 0.3412, 0.9764)
Mg (0.6588, 0.6588, 0.0236)
Mg (0.4265, 0.1392, 0.6261)
Mg (0.1392, 0.8083, 0.6261)
Mg (0.1917, 0.5735, 0.3739)
Tl (0.0000, 0.0000, 0.0000)
Bi (0.9393, 0.5589, 0.2268)
Bi (0.7250, 0.0607, 0.7732)
Bi (0.4411, 0.7250, 0.7732)
Bi (0.5589, 0.2750, 0.2268)
Bi (0.2750, 0.9393, 0.2268)
Bi (0.0607, 0.4411, 0.7732)

Properties
Volume in Å³ per atom: 29.78
Total energy in eV/atom: -2.73
ΔH_f (0 K) in eV per atom: -0.171

---

[3]
DFT (GGA-PBE) results for crystalline MgTlBi at its relaxed geometry.

a b c (Å): 5.1138 9.4836 5.1126
angles (deg): 105.79 119.68 105.80
Atoms (fractional coordinates):
Tl (0.5829, 0.8948, 0.8337)
Tl (0.0801, 0.3948, 0.3362)
Mg (0.5960, 0.5769, 0.1848)
Mg (0.4320, 0.0771, 0.3501)
Bi (0.0327, 0.6798, 0.9536)
Bi (0.2002, 0.1798, 0.7864)

Properties
Volume in Å³ per atom: 30.18
Total energy in eV/atom: -2.75
ΔH_f (0 K) in eV per atom: -0.134